1) Here is MgTa2Hg at its PBEsol-relaxed geometry from the Alexandria database. Energies are from meta-GGA SCAN.

abc: 2.8400 2.8400 9.1580
angles: 90.00 90.00 90.00
Closest atoms and distances in Å follow each position.
Fractional positions:
Ta: 0.0000 0.0000 0.2478  4 Ta 2.84, 4 Hg 3.03, 4 Mg 3.06
Hg: 0.5000 0.5000 0.0000  4 Hg 2.84, 8 Ta 3.03
Ta: 0.0000 0.0000 0.7522  4 Ta 2.84, 4 Hg 3.03, 4 Mg 3.06
Mg: 0.5000 0.5000 0.5000  4 Mg 2.84, 8 Ta 3.06

2) Here is MgTa2Hg at its PBEsol-relaxed geometry from the Alexandria database. Energies are from meta-GGA SCAN.

abc: 4.7105 4.7105 4.7105
angles: 60.00 60.00 60.00
Closest atoms and distances in Å follow each position.
Fractional positions:
Mg: 0.7500 0.7500 0.7500  4 Hg 2.88, 4 Ta 2.88
Ta: 0.0000 0.0000 0.0000  4 Ta 2.88, 4 Mg 2.88
Ta: 0.2500 0.2500 0.2500  4 Hg 2.88, 4 Ta 2.88
Hg: 0.5000 0.5000 0.5000  4 Ta 2.88, 4 Mg 2.88

Energies in meV/atom, measured from the most stable structure: 1) 0; 2) 99.

1) Here is MgTa2Hg at its PBEsol-relaxed geometry from the Alexandria database. Energies are from meta-GGA SCAN.

abc: 2.8767 4.5717 5.5367
angles: 90.00 90.00 90.00
Closest atoms and distances in Å follow each position.
Fractional positions:
Ta: 0.0000 0.0000 0.7450  4 Ta 2.71-2.88, 4 Mg 3.02
Ta: 0.0000 0.0000 0.2550  4 Ta 2.71-2.88, 4 Mg 3.02
Hg: 0.5000 0.5000 0.0000  2 Mg 2.77, 2 Hg 2.88, 8 Ta 3.05
Mg: 0.5000 0.5000 0.5000  2 Hg 2.77, 2 Mg 2.88, 8 Ta 3.02

2) Here is MgTa2Hg at its PBEsol-relaxed geometry from the Alexandria database. Energies are from meta-GGA SCAN.

abc: 4.0995 4.0995 5.2204
angles: 113.12 113.12 90.00
Closest atoms and distances in Å follow each position.
Fractional positions:
Hg: 0.5000 0.5000 0.0000  8 Ta 2.90-2.99, 4 Mg 2.99
Ta: 0.7500 0.2500 0.5000  4 Mg 2.90, 4 Hg 2.99, 4 Ta 2.99
Ta: 0.0000 0.0000 0.0000  4 Hg 2.90, 4 Ta 2.99, 4 Mg 2.99
Mg: 0.2500 0.7500 0.5000  8 Ta 2.90-2.99, 4 Hg 2.99

Energies in meV/atom, measured from the most stable structure: 1) 0; 2) 75.

1) Here is MgTc2Hg at its PBEsol-relaxed geometry from the Alexandria database. Energies are from meta-GGA SCAN.

abc: 3.0391 4.4869 5.0834
angles: 101.72 107.39 90.00
Closest atoms and distances in Å follow each position.
Fractional positions:
Hg: 0.0000 0.5000 0.0000  4 Mg 2.71, 6 Tc 2.90-2.96
Tc: 0.7488 0.7764 0.4977  2 Tc 2.51, 1 Mg 2.80
Mg: 0.5000 0.0000 0.0000  4 Hg 2.71, 6 Tc 2.80-2.87
Tc: 0.2512 0.2236 0.5023  2 Tc 2.51, 1 Mg 2.80

2) Here is MgTc2Hg at its PBEsol-relaxed geometry from the Alexandria database. Energies are from meta-GGA SCAN.

abc: 3.4283 3.4283 5.5593
angles: 90.00 90.00 90.00
Closest atoms and distances in Å follow each position.
Fractional positions:
Hg: 0.5000 0.5000 0.0000  2 Mg 2.78, 8 Tc 2.91
Tc: 0.0000 0.0000 0.2902  1 Tc 2.33
Mg: 0.5000 0.5000 0.5000  8 Tc 2.69, 2 Hg 2.78
Tc: 0.0000 0.0000 0.7098  1 Tc 2.33

Energies in meV/atom, measured from the most stable structure: 1) 0; 2) 185.

1) Here is MgHgTe2 at its PBEsol-relaxed geometry from the Alexandria database. Energies are from meta-GGA SCAN.

abc: 3.8974 3.8974 6.7836
angles: 90.00 90.00 90.00
Closest atoms and distances in Å follow each position.
Fractional positions:
Mg: 0.5000 0.5000 0.5000  8 Te 3.14, 2 Hg 3.39
Hg: 0.5000 0.5000 0.0000  8 Te 3.33, 2 Mg 3.39
Te: 0.0000 0.0000 0.7232  1 Te 3.03, 4 Mg 3.14, 4 Hg 3.33
Te: 0.0000 0.0000 0.2768  1 Te 3.03, 4 Mg 3.14, 4 Hg 3.33

2) Here is MgHgTe2 at its PBEsol-relaxed geometry from the Alexandria database. Energies are from meta-GGA SCAN.

abc: 3.7845 5.2053 6.1728
angles: 114.94 107.85 90.00
Closest atoms and distances in Å follow each position.
Fractional positions:
Mg: 0.0000 0.5000 0.0000  4 Te 2.94, 4 Hg 3.22
Te: 0.2864 0.2864 0.5729  2 Mg 2.94
Hg: 0.5000 0.0000 0.0000  4 Mg 3.22, 8 Te 3.44-3.56
Te: 0.7136 0.7136 0.4271  2 Mg 2.94

3) Here is MgHgTe2 at its PBEsol-relaxed geometry from the Alexandria database. Energies are from meta-GGA SCAN.

abc: 3.8343 4.8904 5.7010
angles: 101.56 90.00 90.00
Closest atoms and distances in Å follow each position.
Fractional positions:
Te: 0.5000 0.5000 0.0000  4 Te 3.11, 2 Hg 3.36, 4 Mg 3.44
Te: 0.0000 0.0000 0.0000  4 Te 3.11, 2 Mg 3.36, 4 Hg 3.44
Mg: 0.0000 0.5000 0.5000  4 Hg 3.11, 6 Te 3.36-3.44
Hg: 0.5000 0.0000 0.5000  4 Mg 3.11, 6 Te 3.36-3.44

Energies in meV/atom, measured from the most stable structure: 1) 0; 2) 43; 3) 128.

1) Here is MgHg2W at its PBEsol-relaxed geometry from the Alexandria database. Energies are from meta-GGA SCAN.

abc: 2.9464 4.1011 6.0587
angles: 90.00 89.91 90.00
Closest atoms and distances in Å follow each position.
Fractional positions:
Hg: 0.9999 0.0000 0.7458  4 W 2.93, 4 Hg 2.95-3.08, 4 Mg 2.96
Mg: 0.5000 0.5000 0.0000  2 Mg 2.95, 8 Hg 2.96, 2 W 3.03
W: 0.5000 0.5000 0.5000  8 Hg 2.93, 2 W 2.95, 2 Mg 3.03
Hg: 0.0001 0.0000 0.2542  4 W 2.93, 4 Hg 2.95-3.08, 4 Mg 2.96

2) Here is MgHg2W at its PBEsol-relaxed geometry from the Alexandria database. Energies are from meta-GGA SCAN.

abc: 2.9836 2.9836 9.9763
angles: 81.40 81.40 60.00
Closest atoms and distances in Å follow each position.
Fractional positions:
Hg: 0.7532 0.7532 0.7405  9 Hg 2.98-3.19, 3 Mg 3.01
Hg: 0.9953 0.9953 0.0140  3 W 2.94, 9 Hg 2.98-3.19
Mg: 0.5036 0.5036 0.4894  3 W 2.87, 6 Mg 2.98, 3 Hg 3.01
W: 0.2480 0.2480 0.2561  3 Mg 2.87, 3 Hg 2.94, 6 W 2.98

3) Here is MgHg2W at its PBEsol-relaxed geometry from the Alexandria database. Energies are from meta-GGA SCAN.

abc: 2.9079 5.1585 5.6038
angles: 114.48 105.04 90.00
Closest atoms and distances in Å follow each position.
Fractional positions:
Hg: 0.2482 0.6618 0.4964  3 Mg 2.86-2.98, 5 Hg 2.91-3.09, 4 W 2.92-3.00
W: 0.7527 0.1563 0.5054  7 Hg 2.87-3.00, 2 W 2.91, 3 Mg 2.97-3.08
Hg: 0.0053 0.1000 0.0105  3 W 2.87-2.95, 5 Hg 2.91-3.09, 4 Mg 2.93-3.00
Mg: 0.4938 0.5819 0.9877  7 Hg 2.86-3.00, 2 Mg 2.91, 3 W 2.97-3.08

Energies in meV/atom, measured from the most stable structure: 1) 103; 2) 37; 3) 0.

1) Here is MgHgW2 at its PBEsol-relaxed geometry from the Alexandria database. Energies are from meta-GGA SCAN.

abc: 2.7915 4.9454 4.9454
angles: 90.00 90.00 90.00
Closest atoms and distances in Å follow each position.
Fractional positions:
W: 0.0000 0.5000 0.0000  2 W 2.79, 4 Hg 2.84, 4 Mg 2.84
Hg: 0.5000 0.5000 0.5000  2 Hg 2.79, 8 W 2.84
W: 0.0000 0.0000 0.5000  2 W 2.79, 4 Hg 2.84, 4 Mg 2.84
Mg: 0.5000 0.0000 0.0000  2 Mg 2.79, 8 W 2.84

2) Here is MgHgW2 at its PBEsol-relaxed geometry from the Alexandria database. Energies are from meta-GGA SCAN.

abc: 2.7592 4.7736 5.2827
angles: 90.00 101.97 90.00
Closest atoms and distances in Å follow each position.
Fractional positions:
W: 0.7229 0.0000 0.7390  4 W 2.57-2.86, 2 Mg 2.88
Mg: 0.0000 0.5000 0.5000  2 Hg 2.71, 2 Mg 2.76, 4 W 2.88
Hg: 0.5000 0.5000 0.0000  2 Mg 2.71, 2 Hg 2.76, 4 W 2.89
W: 0.2771 0.0000 0.2610  4 W 2.57-2.86, 2 Mg 2.88

Energies in meV/atom, measured from the most stable structure: 1) 505; 2) 0.